Here is a relaxed structure of NdHf2CoN4 from Alexandria via LeMat-Bulk. Energies are from PBE.

Output
For the size of the total moment, the calculation gives 1.95 μB per cell. The calculation puts the density of states at the Fermi level at 3.1 states/eV/f.u. The total DFT energy (no corrections) is -151.335 eV/cell.

Unit cell a=3.237 b=5.736 c=11.068 alpha=90.00 beta=90.00 gamma=106.39
Positions (direct):
1 Nd 0.107 0.213 0.750
2 Nd 0.893 0.787 0.250
3 Hf 0.367 0.735 0.554
4 Hf 0.633 0.265 0.054
5 Hf 0.633 0.265 0.446
6 Hf 0.367 0.735 0.946
7 Co 0.843 0.686 0.750
8 Co 0.157 0.314 0.250
9 N 0.266 0.532 0.111
10 N 0.734 0.468 0.611
11 N 0.734 0.468 0.889
12 N 0.266 0.532 0.389
13 N 0.000 0.000 0.500
14 N 0.000 0.000 0.000
15 N 0.438 0.876 0.750
16 N 0.562 0.124 0.250